Computed, not measured: a relaxed CeCrTcP2 crystal at the GGA-PBE level of DFT.

Output
The magnetic moment is 3.0 μB per formula unit. The formation energy is -0.85 eV per atom.

a = 4.0447 Å, b = 4.0447 Å, c = 10.0250 Å
α = 90.00°, β = 90.00°, γ = 90.00°
Last column: nearest neighbours and their distance in Å.
Space group I-4m2 (No. 119)
One atom of each set of equivalent atoms:
Ce: 0.0000 0.0000 0.0000 [2 per cell]  8 P 3.13, 4 Cr 3.22, 4 Tc 3.22
Cr: 0.0000 0.5000 0.2500 [2 per cell]  4 P 2.37
Tc: 0.0000 0.5000 0.7500 [2 per cell]  4 P 2.37
P: 0.0000 0.0000 0.3727 [4 per cell]  2 Cr 2.37, 2 Tc 2.37, 1 P 2.55

=====

Computed, not measured: a relaxed Ac8ZnTe4P3 crystal at the GGA-PBE level of DFT.

Output
The magnetic moment is 0.0 μB per formula unit. The raw formation energy comes out at -1.358 eV/atom.

a = 9.1266 Å, b = 9.1266 Å, c = 23.0743 Å
α = 90.00°, β = 90.00°, γ = 120.00°
Last column: nearest neighbours and their distance in Å.
Space group R-3m (No. 166, hexagonal axes)
One atom of each set of equivalent atoms:
Ac: 0.0000 0.0000 0.2386 [6 per cell]  3 P 3.11, 3 Te 3.42
Ac: 0.0052 0.5026 0.7589 [18 per cell]  2 P 3.13, 1 Zn 3.18, 3 Te 3.35-3.40
Zn: 0.0000 0.0000 0.5000 [3 per cell]  6 Ac 3.18
Te: 0.0000 0.0000 0.0000 [3 per cell]  6 Ac 3.35
Te: 0.0000 0.5000 0.0000 [9 per cell]  6 Ac 3.40-3.42
P: 0.0000 0.5000 0.5000 [9 per cell]  6 Ac 3.11-3.13

=====

Computed, not measured: a relaxed KZnAu2 crystal at the GGA-PBE level of DFT.

Output
The magnetic moment is 0.0 μB per formula unit. The formation energy is -0.27 eV per atom.

a = 8.0649 Å, b = 4.6665 Å, c = 6.4424 Å
α = 90.00°, β = 114.89°, γ = 90.00°
Last column: nearest neighbours and their distance in Å.
Space group C2/m (No. 12)
One atom of each set of equivalent atoms:
K: 0.0000 0.0000 0.0000 [2 per cell]  2 Au 3.27
Zn: 0.0000 0.5000 0.5000 [2 per cell]  6 Au 2.71-2.72
Au: 0.1870 0.0000 0.5604 [4 per cell]  3 Zn 2.71-2.72, 3 Au 2.78

=====

Computed, not measured: a relaxed CaTePd crystal at the GGA-PBE level of DFT.

Output
The magnetic moment is 0.0 μB per formula unit. The raw formation energy comes out at -1.042 eV/atom.

a = 9.3898 Å, b = 4.5308 Å, c = 6.9611 Å
α = 90.00°, β = 90.00°, γ = 90.00°
Last column: nearest neighbours and their distance in Å.
Space group Pnma (No. 62)
One atom of each set of equivalent atoms:
Ca: 0.1154 0.2500 0.2079 [4 per cell]  4 Pd 2.92-3.05, 3 Te 3.21-3.24
Te: 0.1397 0.2500 0.7484 [4 per cell]  4 Pd 2.86-2.94, 1 Ca 3.21
Pd: 0.1083 0.7500 0.5002 [4 per cell]  4 Te 2.86-2.94, 4 Ca 2.92-3.05, 2 Pd 3.04

=====

Computed, not measured: a relaxed KTaRh2 crystal at the GGA-PBE level of DFT.

Output
As for the polymorph energy (0 for the lowest one): 0.168 eV per atom. The magnetic moment is 0.0 μB per formula unit. The formation energy is 0.26 eV per atom.

a = 3.1825 Å, b = 4.2457 Å, c = 7.0439 Å
α = 90.00°, β = 95.00°, γ = 90.00°
Last column: nearest neighbours and their distance in Å.
Space group Pm (No. 6)
One atom of each set of equivalent atoms:
K: 0.0000 0.0000 0.0000 [1 per cell]  2 K 3.18, 5 Rh 3.34-3.41
Ta: 0.1041 0.5000 0.5576 [1 per cell]  6 Rh 2.46-2.67
Rh: 0.5515 0.5000 0.2900 [1 per cell]  2 Ta 2.46, 2 Rh 2.74
Rh: 0.5928 0.0000 0.5364 [1 per cell]  4 Ta 2.64-2.67, 2 Rh 2.74

=====

Computed, not measured: a relaxed NaH2Cl crystal at the GGA-PBE level of DFT.

Output
As for the polymorph energy (0 for the lowest one): 0.017 eV per atom. The magnetic moment is 0.1 μB per formula unit.

a = 5.1240 Å, b = 4.5992 Å, c = 7.7340 Å
α = 90.00°, β = 90.00°, γ = 90.00°
Last column: nearest neighbours and their distance in Å.
Space group Amm2 (No. 38)
One atom of each set of equivalent atoms:
Na: 0.0000 0.0000 0.0000 [2 per cell]  3 Cl 2.62, 4 H 2.70
H: 0.5000 0.0820 0.9026 [4 per cell]  1 H 0.75
Cl: 0.0000 0.0000 0.3382 [2 per cell]  3 Na 2.62

=====

Computed, not measured: a relaxed Pr2TmIn crystal at the GGA-PBE level of DFT.

Output
As for the polymorph energy (0 for the lowest one): 0.102 eV per atom. The magnetic moment is 0.0 μB per formula unit. The formation energy is -0.16 eV per atom.

a = 7.8861 Å, b = 7.8861 Å, c = 7.8861 Å
α = 90.00°, β = 90.00°, γ = 90.00°
Last column: nearest neighbours and their distance in Å.
Space group Fm-3m (No. 225)
One atom of each set of equivalent atoms:
Pr: 0.2500 0.2500 0.2500 [8 per cell]  4 In 3.41, 4 Tm 3.41
Tm: 0.0000 0.0000 0.0000 [4 per cell]  8 Pr 3.41
In: 0.0000 0.0000 0.5000 [4 per cell]  8 Pr 3.41

=====

Computed, not measured: a relaxed Er3Zn2Ni6 crystal at the GGA-PBE level of DFT.

Output
The magnetic moment is 0.0 μB per formula unit. The formation energy is -0.48 eV per atom.

a = 8.8544 Å, b = 8.8544 Å, c = 8.8544 Å
α = 90.00°, β = 90.00°, γ = 90.00°
Last column: nearest neighbours and their distance in Å.
Space group Im-3m (No. 229)
One atom of each set of equivalent atoms:
Er: 0.0000 0.0000 0.2949 [12 per cell]  8 Ni 2.71-3.03
Zn: 0.2500 0.2500 0.2500 [8 per cell]  6 Ni 2.48
Ni: 0.0000 0.3392 0.3392 [24 per cell]  2 Zn 2.48, 4 Ni 2.56, 2 Er 2.71

=====

Computed, not measured: a relaxed TiMnV2 crystal at the GGA-PBE level of DFT.

Output
As for the polymorph energy (0 for the lowest one): 0.000 eV per atom. The magnetic moment is 0.0 μB per formula unit. The formation energy is -0.15 eV per atom.

a = 2.9588 Å, b = 4.1734 Å, c = 5.0174 Å
α = 114.47°, β = 106.84°, γ = 90.34°
Last column: nearest neighbours and their distance in Å.
Space group P-1 (No. 2)
One atom of each set of equivalent atoms:
Ti: 0.0000 0.0000 0.0000 [1 per cell]  4 Mn 2.55-2.57, 4 V 2.73-2.74
Mn: 0.5000 0.5000 0.0000 [1 per cell]  4 V 2.50-2.51, 4 Ti 2.55-2.57
V: 0.2344 0.7340 0.4678 [2 per cell]  2 Mn 2.50-2.51, 4 V 2.56-2.58, 2 Ti 2.73-2.74

=====

Computed, not measured: a relaxed Dy4ErAg crystal at the GGA-PBE level of DFT.

Output
As for the polymorph energy (0 for the lowest one): 0.000 eV per atom. The magnetic moment is 0.0 μB per formula unit. The formation energy is -0.08 eV per atom.

a = 3.5348 Å, b = 3.5348 Å, c = 13.9023 Å
α = 90.00°, β = 90.00°, γ = 90.00°
Last column: nearest neighbours and their distance in Å.
Space group P4/mmm (No. 123)
One atom of each set of equivalent atoms:
Dy: 0.0000 0.0000 0.1387 [2 per cell]  4 Ag 3.16, 4 Dy 3.53
Dy: 0.5000 0.5000 0.3217 [2 per cell]  4 Er 3.52, 8 Dy 3.53-3.57
Er: 0.0000 0.0000 0.5000 [1 per cell]  8 Dy 3.52, 4 Er 3.53
Ag: 0.5000 0.5000 0.0000 [1 per cell]  8 Dy 3.16, 4 Ag 3.53

=====

Computed, not measured: a relaxed Nd2YHoSc4 crystal at the GGA-PBE level of DFT.

Output
The magnetic moment is 0.0 μB per formula unit. The formation energy is 0.05 eV per atom.

a = 4.9909 Å, b = 4.9909 Å, c = 9.2066 Å
α = 90.00°, β = 90.00°, γ = 90.00°
Last column: nearest neighbours and their distance in Å.
Space group P4/mmm (No. 123)
One atom of each set of equivalent atoms:
Nd: 0.0000 0.0000 0.0000 [1 per cell]  8 Sc 3.39, 4 Ho 3.53
Nd: 0.5000 0.5000 0.5000 [1 per cell]  8 Sc 3.40, 4 Y 3.53
Y: 0.0000 0.0000 0.5000 [1 per cell]  8 Sc 3.40, 4 Nd 3.53
Ho: 0.5000 0.5000 0.0000 [1 per cell]  8 Sc 3.39, 4 Nd 3.53
Sc: 0.0000 0.5000 0.2488 [4 per cell]  2 Ho 3.39, 4 Nd 3.39-3.40, 2 Y 3.40, 4 Sc 3.53

=====

Computed, not measured: a relaxed InCoCu2 crystal at the GGA-PBE level of DFT.

Output
The magnetic moment is 1.1 μB per formula unit. The formation energy is 0.17 eV per atom.

a = 3.0759 Å, b = 3.1175 Å, c = 5.8224 Å
α = 90.00°, β = 90.00°, γ = 90.00°
Last column: nearest neighbours and their distance in Å.
Space group Pmm2 (No. 25)
One atom of each set of equivalent atoms:
In: 0.0000 0.0000 0.0000 [1 per cell]  4 Co 2.68, 6 Cu 2.78-2.98
Co: 0.5000 0.5000 0.7343 [1 per cell]  5 Cu 2.55-2.56, 4 In 2.68
Cu: 0.0000 0.0000 0.5110 [1 per cell]  4 Cu 2.52, 4 Co 2.55
Cu: 0.5000 0.5000 0.2952 [1 per cell]  4 Cu 2.52, 1 Co 2.56, 4 In 2.78